CuWO2 (PBE with a Hubbard U, relaxed); DOS at the Fermi energy = 0.856 states/eV/f.u.; electronic total energy = -6.1563 eV/atom
1.0
1.4034 0.8102 6.5635
-1.4034 0.8102 6.5635
0.0000 -1.6205 6.5635
Cu W O
1 1 2
direct
0.0000 0.0000 0.0000
0.5000 0.5000 0.5000
0.0950 0.0950 0.0950
0.9050 0.9050 0.9050